## w
DFT (GGA-PBE) results for crystalline CaRuBr2 at its relaxed geometry.

abc: 5.9001 5.9001 5.9001
angles: 44.17 44.17 44.17
Closest atoms and distances in Å follow each position.
Positions (direct):
1 Ru 0.7500 0.7500 0.7500  6 Br 2.81
2 Ca 0.2500 0.2500 0.2500  6 Br 2.97
3 Br 0.0114 0.0114 0.0114  3 Ru 2.81, 3 Ca 2.97
4 Br 0.4886 0.4886 0.4886  3 Ru 2.81, 3 Ca 2.97

- V (Å³/f.u.) = 90.60



## x
DFT (GGA-PBE) results for crystalline CaRuBr2 at its relaxed geometry.

abc: 5.0450 5.0450 8.8122
angles: 73.37 73.37 90.00
Closest atoms and distances in Å follow each position.
Positions (direct):
1 Ru 0.0000 0.0000 0.0000  4 Br 2.58
2 Ru 0.7500 0.2500 0.5000  4 Br 2.58
3 Ca 0.5000 0.5000 0.0000  4 Br 2.82
4 Ca 0.2500 0.7500 0.5000  4 Br 2.82
5 Br 0.6762 0.1250 0.2500  2 Ru 2.58, 2 Ca 2.82
6 Br 0.0738 0.6250 0.2500  2 Ru 2.58, 2 Ca 2.82
7 Br 0.3750 0.3238 0.7500  2 Ru 2.58, 2 Ca 2.82
8 Br 0.8750 0.9262 0.7500  2 Ru 2.58, 2 Ca 2.82

- V (Å³/f.u.) = 102.54



Computed relative energies in units of eV/atom: w 0.000; x 0.095



## w
DFT (GGA-PBE) results for crystalline CaRuBr2 at its relaxed geometry.

abc: 3.4451 4.4075 7.7669
angles: 73.73 90.00 90.00
Closest atoms and distances in Å follow each position.
Positions (direct):
1 Ru 0.5000 0.9707 0.6846  3 Br 2.45-2.51
2 Ca 0.0000 0.5372 0.5491  4 Ru 2.97-2.98, 4 Br 3.17-3.18
3 Br 0.0000 0.8565 0.9183  2 Ru 2.45
4 Br 0.5000 0.1356 0.3480  1 Ru 2.51

- V (Å³/f.u.) = 113.22



## x
DFT (GGA-PBE) results for crystalline CaRuBr2 at its relaxed geometry.

abc: 8.5704 8.5704 8.5704
angles: 27.65 27.65 27.65
Closest atoms and distances in Å follow each position.
Positions (direct):
1 Ru 0.0000 0.0000 0.0000  2 Br 2.48
2 Ca 0.5000 0.5000 0.5000  6 Br 2.88
3 Br 0.8998 0.8998 0.8998  1 Ru 2.48
4 Br 0.1002 0.1002 0.1002  1 Ru 2.48

- V (Å³/f.u.) = 119.69



Computed relative energies in units of eV/atom: w 0.000; x 0.314



## w
DFT (GGA-PBE) results for crystalline CaRuBr2 at its relaxed geometry.

abc: 5.1208 5.3165 5.0902
angles: 63.65 85.85 116.55
Closest atoms and distances in Å follow each position.
Positions (direct):
1 Ru 0.5000 0.5000 0.0000  4 Br 2.75
2 Ca 0.0000 0.5000 0.5000  4 Br 2.75
3 Br 0.0000 0.0000 0.0000  2 Ca 2.75, 2 Ru 2.75
4 Br 0.5000 0.0000 0.5000  2 Ru 2.75, 2 Ca 2.75

- V (Å³/f.u.) = 104.56



## x
DFT (GGA-PBE) results for crystalline CaRuBr2 at its relaxed geometry.

abc: 3.5026 3.5026 8.4442
angles: 90.00 90.00 90.00
Closest atoms and distances in Å follow each position.
Positions (direct):
1 Ru 0.5000 0.5000 0.7842  4 Br 2.60
2 Ca 0.0000 0.0000 0.5169  5 Br 2.97-3.03
3 Br 0.0000 0.0000 0.8761  4 Ru 2.60
4 Br 0.5000 0.5000 0.3227  4 Ca 2.97

- V (Å³/f.u.) = 103.60



Computed relative energies in units of eV/atom: w 0.186; x 0.000



## w
DFT (GGA-PBE) results for crystalline CaRuBr2 at its relaxed geometry.

abc: 7.9301 7.9301 7.9301
angles: 154.53 150.92 39.03
Closest atoms and distances in Å follow each position.
Positions (direct):
1 Ru 0.2680 0.7680 0.5000  4 Br 2.65
2 Ca 0.4309 0.4309 0.0000  2 Ru 3.00, 6 Br 3.00-3.05
3 Br 0.0250 0.0250 0.0000  4 Ca 3.00
4 Br 0.7761 0.2761 0.5000  4 Ru 2.65

- V (Å³/f.u.) = 104.04



## x
DFT (GGA-PBE) results for crystalline CaRuBr2 at its relaxed geometry.

abc: 7.1173 7.1173 7.1173
angles: 149.44 141.19 50.18
Closest atoms and distances in Å follow each position.
Positions (direct):
1 Ru 0.2500 0.7500 0.5000  4 Br 2.57
2 Ca 0.7500 0.2500 0.5000  4 Br 2.94, 4 Ru 3.02
3 Br 0.1141 0.1141 0.0000  2 Ru 2.57
4 Br 0.3859 0.3859 0.0000  2 Ru 2.57

- V (Å³/f.u.) = 114.33



## y
DFT (GGA-PBE) results for crystalline CaRuBr2 at its relaxed geometry.

abc: 6.5355 6.5355 6.5355
angles: 144.59 144.59 50.95
Closest atoms and distances in Å follow each position.
Positions (direct):
1 Ru 0.7500 0.2500 0.5000  4 Br 2.81
2 Ca 0.5000 0.5000 0.0000  4 Br 2.81
3 Br 0.0000 0.0000 0.0000  4 Ca 2.81
4 Br 0.2500 0.7500 0.5000  4 Ru 2.81

- V (Å³/f.u.) = 93.24



## z
DFT (GGA-PBE) results for crystalline CaRuBr2 at its relaxed geometry.

abc: 4.9772 4.9772 4.9772
angles: 60.00 60.00 60.00
Closest atoms and distances in Å follow each position.
Positions (direct):
1 Ru 0.5000 0.5000 0.5000  8 Br 3.05
2 Ca 0.0000 0.0000 0.0000  8 Br 3.05
3 Br 0.2500 0.2500 0.2500  4 Ca 3.05, 4 Ru 3.05
4 Br 0.7500 0.7500 0.7500  4 Ru 3.05, 4 Ca 3.05

- V (Å³/f.u.) = 87.18



Computed relative energies in units of eV/atom: w 0.186; x 0.000; y 0.423; z 0.321



## w
DFT (GGA-PBE) results for crystalline CaRuBr2 at its relaxed geometry.

abc: 5.1576 5.1576 5.1576
angles: 60.00 60.00 60.00
Closest atoms and distances in Å follow each position.
Positions (direct):
1 Ru 0.7500 0.7500 0.7500  4 Ca 3.16, 4 Br 3.16
2 Ca 0.5000 0.5000 0.5000  4 Ru 3.16, 4 Br 3.16
3 Br 0.0000 0.0000 0.0000  4 Br 3.16, 4 Ru 3.16
4 Br 0.2500 0.2500 0.2500  4 Br 3.16, 4 Ca 3.16

- V (Å³/f.u.) = 97.01



## x
DFT (GGA-PBE) results for crystalline CaRuBr2 at its relaxed geometry.

abc: 4.2278 4.3401 5.4362
angles: 86.86 90.00 90.00
Closest atoms and distances in Å follow each position.
Positions (direct):
1 Ru 0.5000 0.7500 0.7500  4 Br 2.62
2 Ca 0.5000 0.2500 0.2500  4 Br 2.93
3 Br 0.0000 0.9550 0.9747  2 Ru 2.62, 2 Ca 2.93
4 Br 0.0000 0.5450 0.5253  2 Ru 2.62, 2 Ca 2.93

- V (Å³/f.u.) = 99.60



Computed relative energies in units of eV/atom: w 0.433; x 0.000



## w
DFT (GGA-PBE) results for crystalline Ca3RuBr at its relaxed geometry.

abc: 5.3709 5.3709 5.3709
angles: 90.00 90.00 90.00
Closest atoms and distances in Å follow each position.
Positions (direct):
1 Ru 0.5000 0.5000 0.5000  12 Ca 3.80
2 Ca 0.0000 0.5000 0.0000  2 Br 2.69
3 Ca 0.0000 0.0000 0.5000  2 Br 2.69
4 Ca 0.5000 0.0000 0.0000  2 Br 2.69
5 Br 0.0000 0.0000 0.0000  6 Ca 2.69

- V (Å³/f.u.) = 154.93



## x
DFT (GGA-PBE) results for crystalline Ca3RuBr at its relaxed geometry.

abc: 5.4668 5.4668 5.4668
angles: 90.00 90.00 90.00
Closest atoms and distances in Å follow each position.
Positions (direct):
1 Ru 0.0000 0.0000 0.0000  6 Ca 2.73
2 Ca 0.0000 0.5000 0.0000  2 Ru 2.73
3 Ca 0.0000 0.0000 0.5000  2 Ru 2.73
4 Ca 0.5000 0.0000 0.0000  2 Ru 2.73
5 Br 0.5000 0.5000 0.5000  12 Ca 3.87

- V (Å³/f.u.) = 163.38



Computed relative energies in units of eV/atom: w 0.504; x 0.000